A relaxed structure of LiHgOs2, computed with PBE.

Properties
The value obtained for the total energy is -22.59 eV/cell. The value obtained for the total moment is 0.0 μB/f.u. As for the crystal system: orthorhombic.

Cell lengths 2.7643, 2.7643, 9.5009 Å; angles 90.00, 90.00, 117.19 degrees
Fractional coordinates of all 4 atoms:
1 Li 0.0000 0.0000 0.0000
2 Hg 0.5000 0.5000 0.2558
3 Os 0.0000 0.0000 0.5387
4 Os 0.5000 0.5000 0.7642

---

A relaxed structure of Li3HgOs, computed with PBE.

Properties
The value obtained for the total energy is -12.00 eV/cell. The value obtained for the total moment is 1.6 μB/f.u. As for the crystal system: cubic.

Cell lengths 4.6369, 4.6369, 4.6369 Å; angles 90.00, 90.00, 90.00 degrees
Fractional coordinates of all 5 atoms:
1 Li 0.0000 0.0000 0.5000
2 Li 0.0000 0.5000 0.0000
3 Li 0.5000 0.0000 0.0000
4 Hg 0.0000 0.0000 0.0000
5 Os 0.5000 0.5000 0.5000

---

A relaxed structure of LiHgOs2, computed with PBE.

Properties
The value obtained for the total energy is -22.77 eV/cell. The value obtained for the total moment is 0.0 μB/f.u. As for the crystal system: monoclinic.

Cell lengths 4.9802, 4.9802, 4.6561 Å; angles 97.37, 97.37, 32.87 degrees
Fractional coordinates of all 4 atoms:
1 Li 0.0000 0.0000 0.0000
2 Hg 0.5000 0.5000 0.5000
3 Os 0.2477 0.2477 0.7727
4 Os 0.7523 0.7523 0.2273

---

A relaxed structure of LiHgOs2, computed with PBE.

Properties
The value obtained for the total energy is -21.76 eV/cell. The value obtained for the total moment is 0.0 μB/f.u. As for the crystal system: orthorhombic.

Cell lengths 2.7190, 2.7190, 9.7537 Å; angles 90.00, 90.00, 117.95 degrees
Fractional coordinates of all 4 atoms:
1 Li 0.0000 0.0000 0.0000
2 Hg 0.0000 0.0000 0.5000
3 Os 0.5000 0.5000 0.2341
4 Os 0.5000 0.5000 0.7659

---

A relaxed structure of Li3HgOs, computed with PBE.

Properties
The value obtained for the total energy is -12.93 eV/cell. The value obtained for the total moment is 1.1 μB/f.u. As for the crystal system: cubic.

Cell lengths 4.8152, 4.8152, 4.8152 Å; angles 90.00, 90.00, 90.00 degrees
Fractional coordinates of all 5 atoms:
1 Li 0.0000 0.0000 0.5000
2 Li 0.0000 0.5000 0.0000
3 Li 0.5000 0.0000 0.0000
4 Hg 0.5000 0.5000 0.5000
5 Os 0.0000 0.0000 0.0000

---

A relaxed structure of LiHgOs2, computed with PBE.

Properties
The value obtained for the total energy is -22.16 eV/cell. The value obtained for the total moment is 0.0 μB/f.u. As for the crystal system: tetragonal.

Cell lengths 5.2974, 5.2974, 5.2974 Å; angles 139.34, 139.34, 58.85 degrees
Fractional coordinates of all 4 atoms:
1 Li 0.0000 0.0000 0.0000
2 Hg 0.5000 0.5000 0.0000
3 Os 0.2500 0.7500 0.5000
4 Os 0.7500 0.2500 0.5000

---

A relaxed structure of LiHgOs2, computed with PBE.

Properties
The value obtained for the total energy is -21.96 eV/cell. The value obtained for the total moment is 0.0 μB/f.u. As for the crystal system: orthorhombic.

Cell lengths 5.3084, 5.3084, 5.3084 Å; angles 148.11, 127.32, 62.91 degrees
Fractional coordinates of all 4 atoms:
1 Li 0.0000 0.0000 0.0000
2 Hg 0.7512 0.2512 0.5000
3 Os 0.2510 0.7510 0.5000
4 Os 0.4809 0.4809 0.0000

---

A relaxed structure of LiHgOs2, computed with PBE.

Properties
The value obtained for the total energy is -22.28 eV/cell. The value obtained for the total moment is 0.0 μB/f.u. As for the crystal system: tetragonal.

Cell lengths 3.6888, 3.6888, 4.5524 Å; angles 90.00, 90.00, 90.00 degrees
Fractional coordinates of all 4 atoms:
1 Li 0.0000 0.0000 0.0000
2 Hg 0.5000 0.5000 0.0000
3 Os 0.0000 0.5000 0.5000
4 Os 0.5000 0.0000 0.5000

---

A relaxed structure of LiHgOs2, computed with PBE.

Properties
The value obtained for the total energy is -23.35 eV/cell. The value obtained for the total moment is 0.0 μB/f.u. As for the crystal system: trigonal.

Cell lengths 9.5973, 9.5973, 9.5973 Å; angles 16.80, 16.80, 16.80 degrees
Fractional coordinates of all 4 atoms:
1 Li 0.0000 0.0000 0.0000
2 Hg 0.7546 0.7546 0.7546
3 Os 0.2533 0.2533 0.2533
4 Os 0.5143 0.5143 0.5143

---

A relaxed structure of LiHgOs2, computed with PBE.

Properties
The value obtained for the total energy is -21.95 eV/cell. The value obtained for the total moment is 0.6 μB/f.u. As for the crystal system: trigonal.

Cell lengths 9.7025, 9.7025, 9.7025 Å; angles 16.34, 16.34, 16.34 degrees
Fractional coordinates of all 4 atoms:
1 Li 0.0000 0.0000 0.0000
2 Hg 0.5000 0.5000 0.5000
3 Os 0.2544 0.2544 0.2544
4 Os 0.7456 0.7456 0.7456

---

A relaxed structure of LiHgOs2, computed with PBE.

Properties
The value obtained for the total energy is -22.78 eV/cell. The value obtained for the total moment is 0.0 μB/f.u. As for the crystal system: monoclinic.

Cell lengths 4.5207, 2.8547, 4.9237 Å; angles 90.00, 104.33, 90.00 degrees
Fractional coordinates of all 4 atoms:
1 Li 0.0000 0.0000 0.0000
2 Hg 0.5000 0.5000 0.0000
3 Os 0.0000 0.5000 0.5000
4 Os 0.5000 0.0000 0.5000

---

A relaxed structure of LiHgOs2, computed with PBE.

Properties
The value obtained for the total energy is -20.96 eV/cell. The value obtained for the total moment is 0.1 μB/f.u. As for the crystal system: tetragonal.

Cell lengths 2.6581, 2.6581, 9.0828 Å; angles 90.00, 90.00, 90.00 degrees
Fractional coordinates of all 4 atoms:
1 Li 0.0000 0.0000 0.0000
2 Hg 0.0000 0.0000 0.5000
3 Os 0.5000 0.5000 0.2351
4 Os 0.5000 0.5000 0.7649

---

A relaxed structure of LiHgOs2, computed with PBE.

Properties
The value obtained for the total energy is -23.01 eV/cell. The value obtained for the total moment is 0.0 μB/f.u. As for the crystal system: monoclinic.

Cell lengths 4.6051, 4.6051, 5.1604 Å; angles 96.15, 96.15, 35.44 degrees
Fractional coordinates of all 4 atoms:
1 Li 0.0000 0.0000 0.0000
2 Hg 0.7538 0.7538 0.1999
3 Os 0.2398 0.2398 0.7033
4 Os 0.4988 0.4988 0.5436

---

A relaxed structure of LiHgOs2, computed with PBE.

Properties
The value obtained for the total energy is -21.34 eV/cell. The value obtained for the total moment is 0.0 μB/f.u. As for the crystal system: tetragonal.

Cell lengths 3.0676, 3.0676, 6.3965 Å; angles 90.00, 90.00, 90.00 degrees
Fractional coordinates of all 4 atoms:
1 Li 0.0000 0.0000 0.0000
2 Hg 0.0000 0.0000 0.5000
3 Os 0.5000 0.5000 0.1867
4 Os 0.5000 0.5000 0.8133

---

A relaxed structure of RbLiHg2Os, computed with PBE.

Properties
The value obtained for the total energy is -8.57 eV/cell. The value obtained for the total moment is 2.5 μB/f.u. As for the crystal system: tetragonal.

Cell lengths 5.0555, 5.0555, 5.4321 Å; angles 90.00, 90.00, 90.00 degrees
Fractional coordinates of all 5 atoms:
1 Rb 0.0000 0.0000 0.0000
2 Li 0.0000 0.0000 0.5000
3 Hg 0.0000 0.5000 0.5000
4 Hg 0.5000 0.0000 0.5000
5 Os 0.5000 0.5000 0.0000

---

A relaxed structure of Li2HgOsRh, computed with PBE.

Properties
The value obtained for the total energy is -16.60 eV/cell. The value obtained for the total moment is 2.5 μB/f.u. As for the crystal system: tetragonal.

Cell lengths 4.3458, 4.3458, 5.1250 Å; angles 90.00, 90.00, 90.00 degrees
Fractional coordinates of all 5 atoms:
1 Li 0.0000 0.5000 0.0000
2 Li 0.5000 0.0000 0.0000
3 Hg 0.0000 0.0000 0.0000
4 Os 0.0000 0.0000 0.5000
5 Rh 0.5000 0.5000 0.5000

---

A relaxed structure of Li2HgOsS, computed with PBE.

Properties
As for the energy relative to the elements, uncorrected: 0.5757 eV per atom. The value obtained for the total moment is 2.4 μB/f.u. As for the crystal system: tetragonal.

Cell lengths 4.2383, 4.2383, 5.7107 Å; angles 90.00, 90.00, 90.00 degrees
Fractional coordinates of all 5 atoms:
1 Li 0.0000 0.5000 0.0000
2 Li 0.5000 0.0000 0.0000
3 Hg 0.0000 0.0000 0.5000
4 Os 0.5000 0.5000 0.5000
5 S 0.0000 0.0000 0.0000

---

A relaxed structure of LiSiHgOs2, computed with PBE.

Properties
As for the energy relative to the elements, uncorrected: 2.1067 eV per atom. The value obtained for the total moment is 1.4 μB/f.u. As for the crystal system: tetragonal.

Cell lengths 4.9581, 4.9581, 4.1653 Å; angles 90.00, 90.00, 90.00 degrees
Fractional coordinates of all 5 atoms:
1 Li 0.0000 0.0000 0.0000
2 Si 0.5000 0.5000 0.0000
3 Hg 0.0000 0.0000 0.5000
4 Os 0.0000 0.5000 0.5000
5 Os 0.5000 0.0000 0.5000

---

A relaxed structure of Li2TiHgOs, computed with PBE.

Properties
The value obtained for the total energy is -17.39 eV/cell. The value obtained for the total moment is 0.3 μB/f.u. As for the crystal system: tetragonal.

Cell lengths 4.4662, 4.4662, 5.1314 Å; angles 90.00, 90.00, 90.00 degrees
Fractional coordinates of all 5 atoms:
1 Li 0.0000 0.5000 0.0000
2 Li 0.5000 0.0000 0.0000
3 Ti 0.0000 0.0000 0.5000
4 Hg 0.5000 0.5000 0.5000
5 Os 0.5000 0.5000 0.0000

---

A relaxed structure of LiHg2OsW, computed with PBE.

Properties
The value obtained for the total energy is -21.36 eV/cell. The value obtained for the total moment is 2.4 μB/f.u. As for the crystal system: tetragonal.

Cell lengths 5.2939, 5.2939, 4.7911 Å; angles 90.00, 90.00, 90.00 degrees
Fractional coordinates of all 5 atoms:
1 Li 0.0000 0.0000 0.0000
2 Hg 0.0000 0.5000 0.5000
3 Hg 0.5000 0.0000 0.5000
4 Os 0.5000 0.5000 0.5000
5 W 0.5000 0.5000 0.0000

---

A relaxed structure of LiHgP, computed with PBE.

Properties
The value obtained for the total energy is -7.68 eV/cell. The value obtained for the total moment is 0.0 μB/f.u. As for the crystal system: orthorhombic.

Cell lengths 5.5647, 5.5647, 5.5647 Å; angles 150.76, 137.66, 52.29 degrees
Fractional coordinates of all 3 atoms:
1 Li 0.0000 0.0000 0.0000
2 Hg 0.2993 0.2993 0.0000
3 P 0.5831 0.5831 0.0000

---

A relaxed structure of LiHgP4, computed with PBE.

Properties
The value obtained for the total energy is -22.63 eV/cell. The value obtained for the total moment is 0.0 μB/f.u. As for the crystal system: cubic.

Cell lengths 5.7629, 5.7629, 5.7629 Å; angles 60.00, 60.00, 60.00 degrees
Fractional coordinates of all 6 atoms:
1 Li 0.0000 0.0000 0.0000
2 Hg 0.2500 0.2500 0.2500
3 P 0.2049 0.5984 0.5984
4 P 0.5984 0.2049 0.5984
5 P 0.5984 0.5984 0.2049
6 P 0.5984 0.5984 0.5984

---

A relaxed structure of LiHgP2, computed with PBE.

Properties
The value obtained for the total energy is -13.56 eV/cell. The value obtained for the total moment is 0.0 μB/f.u. As for the crystal system: monoclinic.

Cell lengths 4.6767, 4.6767, 7.6600 Å; angles 121.25, 121.25, 41.10 degrees
Fractional coordinates of all 4 atoms:
1 Li 0.0000 0.0000 0.0000
2 Hg 0.6354 0.6354 0.3675
3 P 0.0549 0.0549 0.6812
4 P 0.6759 0.6759 0.9045

---

A relaxed structure of LiHg2P, computed with PBE.

Properties
The value obtained for the total energy is -15.40 eV/cell. The value obtained for the total moment is 0.0 μB/f.u. As for the crystal system: tetragonal.

Cell lengths 9.7063, 9.7063, 9.7063 Å; angles 154.36, 154.36, 36.57 degrees
Fractional coordinates of all 8 atoms:
1 Li 0.0000 0.0000 0.0000
2 Li 0.7500 0.2500 0.5000
3 Hg 0.1233 0.6250 0.9983
4 Hg 0.3750 0.3733 0.4983
5 Hg 0.6267 0.1250 0.0017
6 Hg 0.8750 0.8767 0.5017
7 P 0.2500 0.7500 0.5000
8 P 0.5000 0.5000 0.0000

---

A relaxed structure of LiHgP2, computed with PBE.

Properties
The value obtained for the total energy is -11.62 eV/cell. The value obtained for the total moment is 0.7 μB/f.u. As for the crystal system: trigonal.

Cell lengths 10.2871, 10.2871, 10.2871 Å; angles 16.02, 16.02, 16.02 degrees
Fractional coordinates of all 4 atoms:
1 Li 0.0000 0.0000 0.0000
2 Hg 0.5000 0.5000 0.5000
3 P 0.2666 0.2666 0.2666
4 P 0.7334 0.7334 0.7334

---

A relaxed structure of LiHgP2, computed with PBE.

Properties
The value obtained for the total energy is -12.24 eV/cell. The value obtained for the total moment is 0.0 μB/f.u. As for the crystal system: orthorhombic.

Cell lengths 3.6613, 3.7149, 5.1030 Å; angles 90.00, 90.00, 90.00 degrees
Fractional coordinates of all 4 atoms:
1 Li 0.0000 0.0000 0.0000
2 Hg 0.5000 0.5000 0.0000
3 P 0.0000 0.5000 0.5000
4 P 0.5000 0.0000 0.5000

---

A relaxed structure of Li3HgP, computed with PBE.

Properties
The value obtained for the total energy is -13.71 eV/cell. The value obtained for the total moment is 0.0 μB/f.u. As for the crystal system: cubic.

Cell lengths 4.7568, 4.7568, 4.7568 Å; angles 90.00, 90.00, 90.00 degrees
Fractional coordinates of all 5 atoms:
1 Li 0.0000 0.0000 0.5000
2 Li 0.0000 0.5000 0.0000
3 Li 0.5000 0.0000 0.0000
4 Hg 0.5000 0.5000 0.5000
5 P 0.0000 0.0000 0.0000

---

A relaxed structure of LiHg2P, computed with PBE.

Properties
The value obtained for the total energy is -7.59 eV/cell. The value obtained for the total moment is 0.0 μB/f.u. As for the crystal system: monoclinic.

Cell lengths 5.8333, 5.8333, 3.2468 Å; angles 105.23, 105.23, 119.74 degrees
Fractional coordinates of all 4 atoms:
1 Li 0.0000 0.0000 0.0000
2 Hg 0.0000 0.5000 0.0000
3 Hg 0.5000 0.0000 0.0000
4 P 0.5000 0.5000 0.0000

---

A relaxed structure of LiHgP2, computed with PBE.

Properties
The value obtained for the total energy is -11.71 eV/cell. The value obtained for the total moment is 0.0 μB/f.u. As for the crystal system: cubic.

Cell lengths 4.6399, 4.6399, 4.6399 Å; angles 60.00, 60.00, 60.00 degrees
Fractional coordinates of all 4 atoms:
1 Li 0.0000 0.0000 0.0000
2 Hg 0.7500 0.7500 0.7500
3 P 0.2500 0.2500 0.2500
4 P 0.5000 0.5000 0.5000

---

A relaxed structure of LiHgP2, computed with PBE.

Properties
The value obtained for the total energy is -13.68 eV/cell. The value obtained for the total moment is 0.0 μB/f.u. As for the crystal system: orthorhombic.

Cell lengths 3.2550, 4.0984, 6.7869 Å; angles 90.00, 90.00, 90.00 degrees
Fractional coordinates of all 4 atoms:
1 Li 0.0000 0.0000 0.0000
2 Hg 0.5000 0.0000 0.6097
3 P 0.0000 0.5000 0.2706
4 P 0.5000 0.5000 0.0586